[1]
DFT (PBE-GGA) results for Gd2Er after structural relaxation.

Calculated formation energy: 0.27 eV per formula unit
Energy: -10.8191 eV per atom
D(E_F): 4.945 states/eV/f.u.
ΔE to the lowest computed polymorph: 0.0 kJ/mol of formula units
Calculated volume: 192.79 Å³/cell

Unit cell a=4.131 b=4.131 c=11.298 alpha=90.00 beta=90.00 gamma=90.00
Space group I4/mmm (No. 139)
Symmetry-distinct sites (fractional):
Gd: 0.000 0.000 0.164 (multiplicity 4)
Er: 0.000 0.000 0.500 (multiplicity 2)

[2]
DFT (PBE-GGA) results for HfAlSi2 after structural relaxation.

Energy: -6.0643 eV per atom
D(E_F): 1.976 states/eV/f.u.
Calculated volume: 224.10 Å³/cell

Unit cell a=3.8119 b=3.8119 c=17.8087 alpha=90.00 beta=90.00 gamma=120.00
Space group R-3m (No. 166, hexagonal axes)
Symmetry-distinct sites (fractional):
Hf: 0.0000 0.0000 0.0000 (multiplicity 3)
Al: 0.0000 0.0000 0.5000 (multiplicity 3)
Si: 0.0000 0.0000 0.2454 (multiplicity 6)